VASP calculation (PBE-GGA) on crystalline FeCo2Pt3 at its relaxed geometry.

SG: No. 65
density of states at the Fermi level: 1.035 states/eV/atom
spin magnetization: 1.364 μB/atom
calculated total energy: -83.4 eV for the cell shown

```
data_FeCo2Pt3
_cell_length_a 6.066
_cell_length_b 6.066
_cell_length_c 7.475
_cell_angle_alpha 90.00
_cell_angle_beta 90.00
_cell_angle_gamma 143.12
_symmetry_space_group_name_H-M 'P 1'
_symmetry_Int_Tables_number 1
loop_
_symmetry_equiv_pos_as_xyz
'x,y,z'
loop_
_atom_site_label
_atom_site_type_symbol
_atom_site_fract_x
_atom_site_fract_y
_atom_site_fract_z
Fe1 Fe 0.161 0.839 0.000
Fe2 Fe 0.839 0.161 0.000
Co1 Co 0.169 0.831 0.500
Co2 Co 0.500 0.500 0.000
Co3 Co 0.500 0.500 0.500
Co4 Co 0.831 0.169 0.500
Pt1 Pt 0.000 0.000 0.253
Pt2 Pt 0.000 0.000 0.747
Pt3 Pt 0.333 0.667 0.251
Pt4 Pt 0.333 0.667 0.749
Pt5 Pt 0.667 0.333 0.251
Pt6 Pt 0.667 0.333 0.749
```